First-principles (PBE-GGA) data for crystalline Ag3RhF6 at its relaxed geometry, as listed in the Alexandria database.

Lattice parameters (Å, degrees): 10.327 5.819 6.201 90.00 125.80 90.00
Space group C2/m (No. 12)
One atom of each set of equivalent atoms:
Ag  0.000  0.000  0.000 [2 per cell]
Ag  0.229  0.500  0.214 [4 per cell]
Rh  0.000  0.500  0.500 [2 per cell]
F  0.077  0.263  0.789 [8 per cell]
F  0.220  0.500  0.579 [4 per cell]

Values from the calculation:
formation energy without anion corrections = -12.31 eV/f.u.
theoretical density = 5.9 g cm⁻³
VASP energy = -78.88 eV per cell